MnCdGaF6: relaxed, PBE+U.

```
MnCdGaF6
1.0
5.551 0.000 0.000
-2.776 4.808 0.000
0.000 0.000 10.238
Mn Cd Ga F
2 2 2 12
direct
0.333 0.667 0.250
0.667 0.333 0.750
0.000 0.000 0.000
0.000 0.000 0.500
0.333 0.667 0.750
0.667 0.333 0.250
0.029 0.386 0.645
0.029 0.643 0.855
0.357 0.386 0.855
0.357 0.971 0.645
0.386 0.029 0.145
0.386 0.357 0.355
0.614 0.643 0.645
0.614 0.971 0.855
0.643 0.029 0.355
0.643 0.614 0.145
0.971 0.357 0.145
0.971 0.614 0.355
```

Summary:
**Fermi-level density of states**: 2.2 states/eV/f.u.
**Total DFT energy (no corrections)**: -0.3554 Ry/atom